[1]
! SiSe3I | Alexandria | PBE-GGA | relaxed; values from VASP
&SYSTEM
  ibrav = 0, nat = 10, ntyp = 3
/
ATOMIC_SPECIES
Si 28.09 Si.upf
Se 78.96 Se.upf
I 126.90 I.upf
CELL_PARAMETERS angstrom
6.595 0.000 0.000
-3.298 5.712 0.000
0.000 0.000 6.453
ATOMIC_POSITIONS angstrom
Si 0.000 0.000 0.000
Si 0.000 0.000 3.227
Se 0.000 1.861 1.613
Se -1.686 4.781 1.613
Se 1.612 0.931 4.840
Se 1.686 4.781 1.613
Se 4.984 0.931 4.840
Se 3.298 3.851 4.840
I 0.000 3.808 4.840
I 3.298 1.904 1.613
! V: 243.14 Å³/cell
! ρ: 5.35 g/cm³
! ΔE_f (raw): 0.9 kcal/mol of atoms
! DOS(E_F): 3.40 states/eV/cell
! polymorph energy (0 for the lowest one): 0 meV/atom

---

[2]
! BaIn2Pt | Alexandria | PBE-GGA | relaxed; values from VASP
&SYSTEM
  ibrav = 0, nat = 4, ntyp = 3
/
ATOMIC_SPECIES
Ba 137.33 Ba.upf
In 114.82 In.upf
Pt 195.08 Pt.upf
CELL_PARAMETERS angstrom
3.009 -4.487 0.000
3.009 4.487 0.000
0.000 0.000 4.552
ATOMIC_POSITIONS angstrom
Ba 0.000 0.000 0.000
In 3.009 1.557 2.276
In 3.009 -1.557 2.276
Pt 3.009 0.000 0.000
! total DFT energy (no corrections): -15.5 eV/f.u.
! V: 122.93 Å³/cell
! ρ: 7.59 g/cm³
! DOS(E_F): 1.90 states/eV/cell

---

[3]
! TbSm3Ga4 | Alexandria | PBE-GGA | relaxed; values from VASP
&SYSTEM
  ibrav = 0, nat = 8, ntyp = 3
/
ATOMIC_SPECIES
Tb 158.93 Tb.upf
Sm 150.36 Sm.upf
Ga 69.72 Ga.upf
CELL_PARAMETERS angstrom
-1.841 3.412 8.427
1.841 -3.412 8.427
1.841 3.412 -8.427
ATOMIC_POSITIONS angstrom
Tb 0.000 0.000 0.000
Sm 1.841 0.000 3.410
Sm 0.000 0.000 8.427
Sm 0.000 3.412 5.017
Ga 1.841 -1.314 6.259
Ga 0.000 2.097 2.168
Ga 1.841 1.314 6.259
Ga 0.000 4.726 2.168
! V: 211.78 Å³/cell
! ρ: 6.97 g/cm³
! DOS(E_F): 5.83 states/eV/cell
! polymorph energy (0 for the lowest one): 132 meV/atom

---

What is the ρ in the first record? 5.35 g/cm³

---

Which value of DOS(E_F) does entry 1 give? 3.40 states/eV/cell

---

Among the records above, which one has the highest ρ? BaIn2Pt

---

Number 2 is which compound? BaIn2Pt